No. 1
Below is an optimized crystal structure of Y3Ho2Tl3, with properties calculated at the PBE-GGA level. Values from VASP.

Cell and atoms, written as Quantum ESPRESSO input:
```
&SYSTEM
  ibrav = 0, nat = 16, ntyp = 3
/
ATOMIC_SPECIES
Y 88.91 Y.upf
Ho 164.93 Ho.upf
Tl 204.38 Tl.upf
CELL_PARAMETERS angstrom
3.775 0.000 0.000
0.000 5.362 0.000
0.000 0.000 22.549
ATOMIC_POSITIONS angstrom
Y 0.000 0.000 0.000
Y 0.000 2.681 2.831
Y 0.000 2.681 19.717
Y 1.888 0.000 8.443
Y 1.888 0.000 14.106
Y 1.888 2.681 11.274
Ho 0.000 0.000 5.306
Ho 0.000 0.000 17.243
Ho 1.888 2.681 5.968
Ho 1.888 2.681 16.580
Tl 0.000 0.000 11.274
Tl 0.000 2.681 8.555
Tl 0.000 2.681 13.994
Tl 1.888 0.000 2.719
Tl 1.888 0.000 19.829
Tl 1.888 2.681 0.000
```

Summary:
SG: Immm, No. 71
ΔE_f: -0.291 eV/atom

No. 2
Below is an optimized crystal structure of Ho7Er3Sc2, with properties calculated at the PBE-GGA level. Values from VASP.

Cell and atoms, written as Quantum ESPRESSO input:
```
&SYSTEM
  ibrav = 0, nat = 12, ntyp = 3
/
ATOMIC_SPECIES
Ho 164.93 Ho.upf
Er 167.26 Er.upf
Sc 44.96 Sc.upf
CELL_PARAMETERS angstrom
3.193 1.843 10.771
-3.193 1.843 10.771
0.000 -3.686 10.771
ATOMIC_POSITIONS angstrom
Ho 0.000 0.000 0.000
Ho 0.000 -1.829 8.057
Ho -1.584 0.915 8.057
Ho -1.584 -0.915 24.257
Ho 1.584 0.915 8.057
Ho 1.584 -0.915 24.257
Ho 0.000 1.829 24.257
Er 0.000 0.000 11.253
Er 0.000 0.000 16.157
Er 0.000 0.000 21.060
Sc 0.000 0.000 5.386
Sc 0.000 0.000 26.928
```

Summary:
SG: R-3m, No. 166
ΔE_f: 0.305 eV/atom
Polymorph energy (0 for the lowest one): 201 meV per atom

No. 3
Below is an optimized crystal structure of PmGaNi, with properties calculated at the PBE-GGA level. Values from VASP.

Cell and atoms, written as Quantum ESPRESSO input:
```
&SYSTEM
  ibrav = 0, nat = 12, ntyp = 3
/
ATOMIC_SPECIES
Pm 145.00 Pm.upf
Ga 69.72 Ga.upf
Ni 58.69 Ni.upf
CELL_PARAMETERS angstrom
7.141 0.000 0.000
0.000 4.462 0.000
0.000 0.000 7.195
ATOMIC_POSITIONS angstrom
Pm 0.198 1.116 1.392
Pm 3.373 3.347 4.989
Pm 3.768 1.116 2.206
Pm 6.943 3.347 5.803
Ga 1.273 1.116 4.237
Ga 2.297 3.347 0.640
Ga 4.843 1.116 6.555
Ga 5.867 3.347 2.958
Ni 1.358 3.347 2.987
Ni 2.212 1.116 6.584
Ni 4.928 3.347 0.610
Ni 5.782 1.116 4.208
```

Summary:
SG: Pnma, No. 62
ΔE_f: -0.580 eV/atom
Polymorph energy (0 for the lowest one): 0 meV per atom

Here are the calculated total energy numbers, same order: -4.747, -4.562, -5.100 (eV/atom).